(1)
VASP calculation (GGA-PBE) on crystalline Ce12In3Ag at its relaxed geometry.

```
Ce12In3Ag
1.0
4.817 0.000 0.000
0.000 4.817 0.000
0.000 0.000 19.059
Ce In Ag
12 3 1
direct
0.000 0.000 0.000
0.000 0.000 0.245
0.000 0.000 0.500
0.000 0.000 0.755
0.000 0.500 0.121
0.000 0.500 0.373
0.000 0.500 0.627
0.000 0.500 0.879
0.500 0.000 0.121
0.500 0.000 0.373
0.500 0.000 0.627
0.500 0.000 0.879
0.500 0.500 0.247
0.500 0.500 0.500
0.500 0.500 0.753
0.500 0.500 0.000
```

Properties
As for the final energy: -5.26 eV/atom. Its energy relative to the elements is -2.8 kcal/mol of atoms. For the density of states at the Fermi level, the calculation gives 51.56 states/eV per cell.

(2)
VASP calculation (GGA-PBE) on crystalline CuNi2Br at its relaxed geometry.

```
CuNi2Br
1.0
0.000 3.034 3.034
3.034 0.000 3.034
3.034 3.034 0.000
Cu Ni Br
1 2 1
direct
0.000 0.000 0.000
0.250 0.250 0.250
0.500 0.500 0.500
0.750 0.750 0.750
```

Properties
As for the final energy: -3.67 eV/atom. For the density of states at the Fermi level, the calculation gives 6.56 states/eV per cell. The value obtained for the formation energy (no corrections) is 0.665 eV/atom.

(3)
VASP calculation (GGA-PBE) on crystalline V2SnAu at its relaxed geometry.

```
V2SnAu
1.0
3.938 0.000 0.000
0.000 3.938 0.000
0.000 0.000 4.245
V Sn Au
2 1 1
direct
0.000 0.500 0.000
0.500 0.000 0.000
0.000 0.000 0.500
0.500 0.500 0.500
```

Properties
As for the final energy: -6.36 eV/atom. Its energy relative to the elements is 0.6 kcal/mol of atoms. For the density of states at the Fermi level, the calculation gives 2.56 states/eV per cell.

(4)
VASP calculation (GGA-PBE) on crystalline BaWN2 at its relaxed geometry.

```
BaWN2
1.0
1.636 0.945 7.104
-1.636 0.945 7.104
0.000 -1.889 7.104
Ba W N
1 1 2
direct
0.000 0.000 0.000
0.500 0.500 0.500
0.122 0.122 0.122
0.878 0.878 0.878
```

Properties
As for the final energy: -7.74 eV/atom. For the density of states at the Fermi level, the calculation gives 3.00 states/eV per cell. The value obtained for the formation energy (no corrections) is 0.140 eV/atom.

(5)
VASP calculation (GGA-PBE) on crystalline NbCr3In at its relaxed geometry.

```
NbCr3In
1.0
4.605 0.000 0.000
0.000 4.605 0.000
0.000 0.000 4.605
Nb Cr In
1 3 1
direct
0.000 0.000 0.000
0.000 0.500 0.500
0.500 0.000 0.500
0.500 0.500 0.000
0.500 0.500 0.500
```

Properties
As for the final energy: -6.02 eV/atom. Its energy relative to the elements is 53.3 kcal/mol of atoms. For the density of states at the Fermi level, the calculation gives 16.11 states/eV per cell.

(6)
VASP calculation (GGA-PBE) on crystalline Ce6RuC2Cl3 at its relaxed geometry.

```
Ce6RuC2Cl3
1.0
8.984 -1.874 0.000
8.984 1.874 0.000
-3.004 0.000 7.987
Ce Ru C Cl
6 1 2 3
direct
0.022 0.022 0.250
0.319 0.319 0.442
0.338 0.338 0.866
0.662 0.662 0.134
0.681 0.681 0.558
0.978 0.978 0.750
0.500 0.500 0.000
0.169 0.169 0.341
0.831 0.831 0.659
0.166 0.166 0.834
0.500 0.500 0.500
0.834 0.834 0.166
```

Properties
As for the final energy: -6.67 eV/atom. For the density of states at the Fermi level, the calculation gives 24.19 states/eV per cell. The value obtained for the formation energy (no corrections) is -0.929 eV/atom.

(7)
VASP calculation (GGA-PBE) on crystalline KCa2Ir at its relaxed geometry.

```
KCa2Ir
1.0
4.531 0.000 0.000
0.000 3.628 0.000
-2.264 0.000 8.934
K Ca Ir
1 2 1
direct
0.000 0.000 0.000
0.311 0.500 0.619
0.675 0.000 0.348
0.163 0.500 0.324
```

Properties
As for the final energy: -3.41 eV/atom. Its energy relative to the elements is 2.0 kcal/mol of atoms. For the density of states at the Fermi level, the calculation gives 2.62 states/eV per cell.

(8)
VASP calculation (GGA-PBE) on crystalline Tb2HoAl3Ga6 at its relaxed geometry.

```
Tb2HoAl3Ga6
1.0
4.081 0.000 0.000
0.000 4.081 0.000
0.000 0.000 17.413
Tb Ho Al Ga
2 1 3 6
direct
0.000 0.000 0.221
0.000 0.000 0.779
0.000 0.000 0.500
0.500 0.500 0.000
0.500 0.500 0.277
0.500 0.500 0.723
0.000 0.500 0.373
0.000 0.500 0.627
0.500 0.000 0.373
0.500 0.000 0.627
0.500 0.500 0.138
0.500 0.500 0.862
```

Properties
As for the final energy: -3.78 eV/atom. Its energy relative to the elements is -4.1 kcal/mol of atoms. For the density of states at the Fermi level, the calculation gives 4.19 states/eV per cell.

(9)
VASP calculation (GGA-PBE) on crystalline Hg2WAu at its relaxed geometry.

```
Hg2WAu
1.0
0.000 3.384 3.384
3.384 0.000 3.384
3.384 3.384 0.000
Hg W Au
2 1 1
direct
0.250 0.250 0.250
0.750 0.750 0.750
0.000 0.000 0.000
0.500 0.500 0.500
```

Properties
As for the final energy: -3.30 eV/atom. Its energy relative to the elements is 20.9 kcal/mol of atoms. For the density of states at the Fermi level, the calculation gives 2.05 states/eV per cell.

(10)
VASP calculation (GGA-PBE) on crystalline La12Nd3Th at its relaxed geometry.

```
La12Nd3Th
1.0
5.234 0.000 0.000
0.000 5.234 0.000
0.000 0.000 20.985
La Nd Th
12 3 1
direct
0.000 0.000 0.000
0.000 0.000 0.248
0.000 0.000 0.500
0.000 0.000 0.752
0.000 0.500 0.126
0.000 0.500 0.380
0.000 0.500 0.620
0.000 0.500 0.874
0.500 0.000 0.126
0.500 0.000 0.380
0.500 0.000 0.620
0.500 0.000 0.874
0.500 0.500 0.000
0.500 0.500 0.250
0.500 0.500 0.750
0.500 0.500 0.500
```

Properties
As for the final energy: -5.04 eV/atom. Its energy relative to the elements is 0.3 kcal/mol of atoms. For the density of states at the Fermi level, the calculation gives 26.50 states/eV per cell.

(11)
VASP calculation (GGA-PBE) on crystalline ScTeOs2 at its relaxed geometry.

```
ScTeOs2
1.0
2.948 0.000 0.000
0.000 3.787 0.000
-1.465 0.000 6.922
Sc Te Os
1 1 2
direct
0.000 0.000 0.000
0.643 0.500 0.286
0.375 0.500 0.753
0.804 0.000 0.610
```

Properties
As for the final energy: -7.90 eV/atom. For the density of states at the Fermi level, the calculation gives 2.54 states/eV per cell. The value obtained for the formation energy (no corrections) is 0.088 eV/atom.

(12)
VASP calculation (GGA-PBE) on crystalline ZrGa2Pt2 at its relaxed geometry.

```
ZrGa2Pt2
1.0
-1.880 1.880 6.257
1.880 -1.880 6.257
1.880 1.880 -6.257
Zr Ga Pt
1 2 2
direct
0.000 0.000 0.000
0.250 0.750 0.500
0.750 0.250 0.500
0.395 0.395 0.000
0.605 0.605 0.000
```

Properties
As for the final energy: -6.06 eV/atom. Its energy relative to the elements is -16.6 kcal/mol of atoms. For the density of states at the Fermi level, the calculation gives 2.56 states/eV per cell.